Compound: Tc2C
Source: Alexandria
Functional: PBE
Structure: relaxed

Values from the calculation:
Energy of formation   0.7136 eV/atom
Distance to the lowest polymorph of the same formula   0.639 eV/atom

Geometry as POSCAR:
```
Tc2C
1.0
1.4134 -7.3135 0.0000
1.4134 7.3135 0.0000
0.0000 0.0000 3.9376
Tc C
4 2
direct
0.9560 0.0440 0.7500
0.2954 0.7046 0.7500
0.7046 0.2954 0.2500
0.0440 0.9560 0.2500
0.6804 0.3196 0.7500
0.3196 0.6804 0.2500
```



Compound: Ca2Tc2P2N
Source: Alexandria
Functional: PBE
Structure: relaxed

Values from the calculation:
Formation energy (no corrections)   -0.864 eV per atom

Geometry as POSCAR:
```
Ca2Tc2P2N
1.0
-0.1421 -3.5555 -1.4038
4.8568 -2.9666 1.8104
-1.2484 -3.8844 4.7530
Ca Tc P N
2 2 2 1
direct
0.5657 0.1799 0.6887
0.4343 0.8201 0.3113
0.1884 0.6950 0.9282
0.8116 0.3050 0.0718
0.1797 0.3562 0.2844
0.8203 0.6438 0.7156
0.0000 0.0000 0.0000
```



Compound: Na3AgSb3S8
Source: Alexandria
Functional: PBE
Structure: relaxed

Values from the calculation:
Formation energy (no corrections)   -0.409 eV per atom

Geometry as POSCAR:
```
Na3AgSb3S8
1.0
-3.4385 -1.5923 -6.7289
3.4248 -5.6116 4.0093
-7.0360 3.0553 2.8724
Na Ag Sb S
3 1 3 8
direct
0.0000 0.0000 0.0000
0.0000 0.5000 0.0000
0.5000 0.5000 0.0000
0.0000 0.0000 0.5000
0.5000 0.0000 0.5000
0.5000 0.5000 0.5000
0.0000 0.5000 0.5000
0.2575 0.5150 0.2691
0.7425 0.4850 0.7309
0.7762 0.5524 0.2909
0.2238 0.4476 0.7091
0.7503 0.0169 0.2744
0.2497 0.9831 0.7256
0.2665 0.0169 0.2744
0.7335 0.9831 0.7256
```



Compound: Y2CrOs
Source: Alexandria
Functional: PBE
Structure: relaxed

Values from the calculation:
Energy of formation   0.2199 eV/atom
Distance to the lowest polymorph of the same formula   0.184 eV/atom

Geometry as POSCAR:
```
Y2CrOs
1.0
4.0346 0.0000 0.0000
0.0000 3.3348 0.0023
0.0000 1.8386 6.6661
Cr Os Y
1 1 2
direct
0.0000 0.5869 0.5479
0.5000 0.6524 0.7018
0.0000 0.9859 0.9297
0.5000 0.2748 0.3206
```



Compound: ScSnW3
Source: Alexandria
Functional: PBE
Structure: relaxed

Values from the calculation:
Energy of formation   2.2715 eV/atom
Distance to the lowest polymorph of the same formula   0.043 eV/atom

Geometry as POSCAR:
```
ScSnW3
1.0
4.6800 0.0000 0.0000
0.0000 4.6800 0.0000
0.0000 0.0000 4.6800
Sc Sn W
1 1 3
direct
0.0000 0.0000 0.0000
0.5000 0.5000 0.5000
0.0000 0.5000 0.0000
0.0000 0.0000 0.5000
0.5000 0.0000 0.0000
```



Compound: LaScCd4
Source: Alexandria
Functional: PBE
Structure: relaxed

Values from the calculation:
Energy of formation   -0.2309 eV/atom
Distance to the lowest polymorph of the same formula   0.050 eV/atom

Geometry as POSCAR:
```
LaScCd4
1.0
-0.9801 3.2516 -4.8516
-5.2072 2.7226 -0.7378
-0.3414 5.8982 0.4076
Sc Cd La
1 4 1
direct
0.0000 0.0000 0.0000
0.1238 0.6254 0.6254
0.6254 0.6254 0.6254
0.6254 0.1238 0.6254
0.6254 0.6254 0.1238
0.2500 0.2500 0.2500
```



Compound: Hf3O
Source: Alexandria
Functional: PBE
Structure: relaxed

Values from the calculation:
Formation energy (no corrections)   -0.885 eV per atom

Geometry as POSCAR:
```
Hf3O
1.0
-1.7569 -1.8306 -4.8783
-6.7797 -4.0972 0.8522
-4.8050 5.3635 -3.4092
Hf O
12 4
direct
0.4268 0.0004 0.7835
0.2089 0.0003 0.2165
0.7912 0.7835 0.9997
0.5732 0.2165 0.9997
0.5000 0.3671 0.6330
0.5000 0.6337 0.3662
0.8680 0.6339 0.6328
0.1320 0.3671 0.3661
0.0106 0.9998 0.6351
0.6428 0.9997 0.3645
0.3572 0.6355 0.0002
0.9893 0.3649 0.0003
0.0000 0.1784 0.8217
0.0001 0.8200 0.1799
0.1815 0.8204 0.8210
0.8185 0.1789 0.1797
```



Compound: TlPtAu2
Source: Alexandria
Functional: PBE
Structure: relaxed

Values from the calculation:
Energy of formation   0.1352 eV/atom
Distance to the lowest polymorph of the same formula   0.058 eV/atom

Geometry as POSCAR:
```
TlPtAu2
1.0
3.1374 0.0000 0.0000
0.0000 4.0140 0.0000
0.0000 0.0000 6.1291
Au Pt Tl
2 1 1
direct
0.0000 0.0000 0.0218
0.0000 0.0000 0.4782
0.5000 0.5000 0.2500
0.5000 0.5000 0.7500
```



Compound: Ta2ZnBr
Source: Alexandria
Functional: PBE
Structure: relaxed

Values from the calculation:
Formation energy (no corrections)   0.891 eV per atom
Distance to the lowest polymorph of the same formula   0.725 eV/atom

Geometry as POSCAR:
```
Ta2ZnBr
1.0
4.7134 0.0000 0.0000
2.3567 4.0819 0.0000
2.3567 1.3606 3.8485
Br Ta Zn
1 2 1
direct
0.5000 0.5000 0.5000
0.0000 0.0000 0.0000
0.2500 0.2500 0.2500
0.7500 0.7500 0.7500
```



Compound: Nd2Sm6Y5
Source: Alexandria
Functional: PBE
Structure: relaxed

Values from the calculation:
Energy of formation   0.0978 eV/atom

Geometry as POSCAR:
```
Nd2Sm6Y5
1.0
3.6464 0.0000 0.0000
0.0000 11.8066 0.0000
0.0000 0.0000 20.5734
Nd Sm Y
4 12 10
direct
0.0000 0.3304 0.2837
0.0000 0.6696 0.7163
0.0000 0.8304 0.2163
0.0000 0.1696 0.7837
0.0000 0.0778 0.3638
0.0000 0.9222 0.6362
0.0000 0.5778 0.1362
0.0000 0.4222 0.8638
0.5000 0.3237 0.1284
0.5000 0.6763 0.8716
0.5000 0.8237 0.3716
0.5000 0.1763 0.6284
0.0000 0.5625 0.4241
0.0000 0.4375 0.5759
0.0000 0.0625 0.0759
0.0000 0.9375 0.9241
0.5000 0.3013 0.4434
0.5000 0.6987 0.5566
0.5000 0.8013 0.0566
0.5000 0.1987 0.9434
0.5000 0.5910 0.2790
0.5000 0.4090 0.7210
0.5000 0.0910 0.2210
0.5000 0.9090 0.7790
0.5000 0.5000 0.0000
0.5000 0.0000 0.5000
```



Compound: Cd2TcC
Source: Alexandria
Functional: PBE
Structure: relaxed

Values from the calculation:
Energy of formation   0.9519 eV/atom

Geometry as POSCAR:
```
Cd2TcC
1.0
-3.5758 -1.5233 7.5505
-0.7854 -8.2090 -2.0281
-0.3608 -5.2348 3.5487
C Tc Cd
2 2 4
direct
0.5000 0.5000 0.0000
0.2500 0.7500 0.5000
0.0000 0.0000 0.0000
0.7500 0.2500 0.5000
0.5037 0.1250 0.2500
0.2463 0.6250 0.2500
0.3750 0.4963 0.7500
0.8750 0.7537 0.7500
```



Compound: Ni5AgSe8
Source: Alexandria
Functional: PBE
Structure: relaxed

Values from the calculation:
Formation energy (no corrections)   -0.239 eV per atom

Geometry as POSCAR:
```
Ni5AgSe8
1.0
-1.5612 5.0517 4.9248
-6.8876 1.4259 1.6547
-2.6418 -1.9296 6.4426
Ni Ag Se
5 1 8
direct
0.0000 0.0000 0.0000
0.6258 0.6258 0.1225
0.6258 0.6258 0.6258
0.1225 0.6258 0.6258
0.6258 0.1225 0.6258
0.2500 0.2500 0.2500
0.3921 0.8236 0.3921
0.8236 0.3921 0.3921
0.3921 0.3921 0.3921
0.3921 0.3921 0.8236
0.8655 0.8655 0.4034
0.4034 0.8655 0.8655
0.8655 0.8655 0.8655
0.8655 0.4034 0.8655
```



Compound: TbH3Os
Source: Alexandria
Functional: PBE
Structure: relaxed

Geometry as POSCAR:
```
TbH3Os
1.0
-0.0369 -3.4264 1.3302
0.5374 -1.3210 -3.3878
3.6360 0.1605 0.5142
Tb Os H
1 1 3
direct
0.5000 0.5000 0.5000
0.0000 0.0000 0.0000
0.0000 0.5000 0.0000
0.0000 0.0000 0.5000
0.5000 0.0000 0.0000
```



Compound: Ba2MgCuCl
Source: Alexandria
Functional: PBE
Structure: relaxed

Values from the calculation:
Formation energy (no corrections)   -0.280 eV per atom

Geometry as POSCAR:
```
Ba2MgCuCl
1.0
6.1246 0.0000 0.0000
0.0000 5.0137 0.0000
0.0000 0.0000 6.1246
Mg Ba Cu Cl
1 2 1 1
direct
0.0000 0.5000 0.0000
0.0000 0.0000 0.5000
0.5000 0.0000 0.0000
0.5000 0.5000 0.5000
0.0000 0.0000 0.0000
```



Compound: AlBi3Pt
Source: Alexandria
Functional: PBE
Structure: relaxed

Values from the calculation:
Energy of formation   0.8584 eV/atom
Distance to the lowest polymorph of the same formula   0.352 eV/atom

Geometry as POSCAR:
```
AlBi3Pt
1.0
-5.1048 -0.8120 -1.1372
1.3598 -1.8954 -4.7508
0.3216 -4.8744 2.0368
Bi Pt Al
3 1 1
direct
0.0000 0.5000 0.0000
0.0000 0.0000 0.5000
0.5000 0.0000 0.0000
0.5000 0.5000 0.5000
0.0000 0.0000 0.0000
```



Compound: SnHgAu
Source: Alexandria
Functional: PBE
Structure: relaxed

Values from the calculation:
Energy of formation   0.0348 eV/atom

Geometry as POSCAR:
```
SnHgAu
1.0
-0.2740 -3.4787 -1.0635
2.3084 0.6579 -2.7470
4.1848 -0.2167 5.8871
Au Hg Sn
1 1 1
direct
0.7427 0.7427 0.4854
0.9464 0.9464 0.8928
0.1609 0.1609 0.3218
```



Compound: Dy2Cd2Pt3
Source: Alexandria
Functional: PBE
Structure: relaxed

Values from the calculation:
Energy of formation   -0.8617 eV/atom
Distance to the lowest polymorph of the same formula   0.009 eV/atom

Geometry as POSCAR:
```
Dy2Cd2Pt3
1.0
-0.6919 3.7032 3.0783
-3.7914 -2.4450 -1.7624
2.0580 -6.3458 4.2268
Dy Cd Pt
2 2 3
direct
0.7702 0.3837 0.1565
0.2298 0.6163 0.8435
0.2602 0.1269 0.3908
0.7398 0.8731 0.6092
0.0000 0.0000 0.0000
0.5124 0.2598 0.7652
0.4876 0.7402 0.2348
```



Compound: HoBeSn
Source: Alexandria
Functional: PBE
Structure: relaxed

Values from the calculation:
Energy of formation   -0.4319 eV/atom

Geometry as POSCAR:
```
HoBeSn
1.0
-2.3172 2.6166 -2.2468
1.9145 -1.2886 -3.4751
-3.4560 -1.9307 1.3158
Be Ho Sn
1 1 1
direct
0.1673 0.6667 0.3333
0.6664 0.3333 0.6667
0.1663 0.0000 0.0000
```



Compound: YTc2PdF
Source: Alexandria
Functional: PBE
Structure: relaxed

Values from the calculation:
Formation energy (no corrections)   0.843 eV per atom

Geometry as POSCAR:
```
YTc2PdF
1.0
5.2784 0.0000 0.0000
0.0000 4.1346 0.0000
0.0000 0.0000 5.2784
Y Tc Pd F
1 2 1 1
direct
0.0000 0.0000 0.0000
0.0000 0.0000 0.5000
0.5000 0.0000 0.0000
0.5000 0.5000 0.5000
0.0000 0.5000 0.0000
```



Compound: Dy2PaCu
Source: Alexandria
Functional: PBE
Structure: relaxed

Values from the calculation:
Energy of formation   0.3175 eV/atom
Distance to the lowest polymorph of the same formula   0.310 eV/atom

Geometry as POSCAR:
```
Dy2PaCu
1.0
-1.1761 1.6729 -2.5169
-3.1047 0.9367 -0.0158
1.3732 10.2332 4.0709
Pa Cu Dy
1 1 2
direct
0.0000 0.0000 0.0000
0.5000 0.5000 0.5000
0.0986 0.0986 0.7042
0.9014 0.9014 0.2958
```



Compound: Er3PbC
Source: Alexandria
Functional: PBE
Structure: relaxed

Values from the calculation:
Energy of formation   -0.5607 eV/atom

Geometry as POSCAR:
```
Er3PbC
1.0
-3.6816 3.0929 0.7443
-2.2510 -1.7283 -3.9523
-2.2479 -3.3348 2.7386
Pb C Er
1 1 3
direct
0.5000 0.5000 0.5000
0.0000 0.0000 0.0000
0.0000 0.5000 0.0000
0.0000 0.0000 0.5000
0.5000 0.0000 0.0000
```



Compound: InTcIr2
Source: Alexandria
Functional: PBE
Structure: relaxed

Values from the calculation:
Energy of formation   0.0650 eV/atom

Geometry as POSCAR:
```
InTcIr2
1.0
4.8386 -0.0036 0.0130
4.0011 2.7208 0.0130
0.8110 0.2493 4.8283
In Ir Tc
1 2 1
direct
0.2516 0.2516 0.2339
0.0066 0.0066 0.0002
0.7516 0.7516 0.7265
0.4902 0.4902 0.5394
```



Compound: Pr4MgCd2
Source: Alexandria
Functional: PBE
Structure: relaxed

Values from the calculation:
Energy of formation   -0.0961 eV/atom
Distance to the lowest polymorph of the same formula   0.000 eV/atom

Geometry as POSCAR:
```
Pr4MgCd2
1.0
-0.1175 3.4657 -3.8864
-6.2494 1.7017 1.7064
4.0276 4.0542 3.4935
Pr Mg Cd
4 1 2
direct
0.0000 0.7715 0.7715
0.0000 0.2285 0.2285
0.5000 0.0000 0.5000
0.5000 0.5000 0.0000
0.5000 0.5000 0.5000
0.0000 0.7293 0.2707
0.0000 0.2707 0.7293
```



Compound: CaMg3Sc2
Source: Alexandria
Functional: PBE
Structure: relaxed

Values from the calculation:
Energy of formation   -0.0416 eV/atom

Geometry as POSCAR:
```
CaMg3Sc2
1.0
3.6715 0.0000 0.0000
0.0000 3.6715 0.0000
0.0000 0.0000 11.4038
Ca Mg Sc
1 3 2
direct
0.5000 0.5000 0.5000
0.0000 0.0000 0.0000
0.0000 0.0000 0.6936
0.0000 0.0000 0.3064
0.5000 0.5000 0.8498
0.5000 0.5000 0.1502
```



Compound: LaHgN
Source: Alexandria
Functional: PBE
Structure: relaxed

Values from the calculation:
Formation energy (no corrections)   -0.606 eV per atom

Geometry as POSCAR:
```
LaHgN
1.0
3.7718 0.0000 0.0000
0.0000 7.9790 -0.2452
-1.8859 -3.8962 5.2941
La N Hg
2 2 2
direct
0.7247 0.6605 0.4494
0.2753 0.3395 0.5506
0.1437 0.4434 0.2874
0.8563 0.5566 0.7126
0.5453 0.8612 0.0906
0.4547 0.1388 0.9094
```



Compound: TbYPt2
Source: Alexandria
Functional: PBE
Structure: relaxed

Values from the calculation:
Energy of formation   -1.2027 eV/atom

Geometry as POSCAR:
```
TbYPt2
1.0
-2.8026 1.1078 1.6977
-1.4815 -4.7214 0.6352
2.5208 -0.2124 4.3001
Y Tb Pt
1 1 2
direct
0.5000 0.5000 0.5000
0.5000 0.0000 0.0000
0.0000 0.0000 0.5000
0.0000 0.5000 0.0000
```



The evaluated DOS(E_F) for the records listed, in turn: 0.461; 0.473; 0.873; 0.483; 0.897; 0.804; 0.752; 0.416; 1.510; 1.218; 0.529; 0.584; 0.692; 1.057; 0.443; 0.408; 0.436; 0.412; 1.242; 1.207; 0.403; 0.936; 1.590; 1.053; 0.004; 0.554 states/eV per atom.
The evaluated DFT total energy for the records listed, in turn: -55.63; -49.93; -58.34; -32.90; -37.84; -16.30; -153.44; -14.42; -23.09; -137.80; -35.22; -62.98; -27.26; -12.78; -17.13; -7.48; -35.19; -13.60; -30.05; -21.53; -29.42; -30.57; -23.22; -19.70; -30.75; -27.99 eV/cell.